1.
{"formula": "BBr", "functional": "PBE", "state": "relaxed", "cell": [[9.426, 0.000, 0.000], [0.000, 4.646, 0.000], [0.000, 0.000, 12.517]], "species": ["B", "B", "B", "B", "B", "B", "Br", "Br", "Br", "Br", "Br", "Br"], "frac_coords": [[0.000, 0.247, 0.000], [0.106, 0.155, 0.913], [0.394, 0.845, 0.413], [0.500, 0.753, 0.500], [0.606, 0.845, 0.413], [0.894, 0.155, 0.913], [0.000, 0.389, 0.145], [0.217, 0.037, 0.800], [0.283, 0.963, 0.300], [0.500, 0.611, 0.645], [0.717, 0.963, 0.300], [0.783, 0.037, 0.800]], "total_energy_ev_per_cell": -46.49, "e_form_raw_ev_per_atom": 0.30, "relative_energy_mev_per_atom": 627, "mass_density_g_cm3": 1.649, "m_tot_mub_per_fu": 0.00, "crystal_system": "orthorhombic"}

2.
{"formula": "TlPb", "functional": "PBE", "state": "relaxed", "cell": [[-1.848, 2.895, 5.846], [1.848, -2.895, 5.846], [1.848, 2.895, -5.846]], "species": ["Tl", "Tl", "Pb", "Pb"], "frac_coords": [[0.373, 0.123, 0.250], [0.627, 0.877, 0.750], [0.121, 0.371, 0.750], [0.879, 0.629, 0.250]], "total_energy_ev_per_cell": -12.05, "e_form_ev_per_atom": 0.024, "dos_at_fermi_per_ev_cell": 1.97, "mass_density_g_cm3": 10.928, "m_tot_mub_per_fu": 0.00, "crystal_system": "orthorhombic"}

3.
{"formula": "Sc2PtBr", "functional": "PBE", "state": "relaxed", "cell": [[-2.006, 2.715, 3.742], [2.006, -2.715, 3.742], [2.006, 2.715, -3.742]], "species": ["Sc", "Sc", "Pt", "Br"], "frac_coords": [[0.246, 0.246, 0.000], [0.754, 0.754, 0.000], [0.000, 0.500, 0.500], [0.500, 0.000, 0.500]], "total_energy_ev_per_cell": -23.41, "e_form_raw_ev_per_atom": -0.76, "dos_at_fermi_per_ev_cell": 3.19, "relative_energy_mev_per_atom": 337, "mass_density_g_cm3": 7.434, "m_tot_mub_per_fu": 0.00, "crystal_system": "orthorhombic"}

4.
{"formula": "AgSIO2", "functional": "PBE", "state": "relaxed", "cell": [[3.956, 0.000, 0.000], [0.000, 3.956, 0.000], [0.000, 0.000, 8.039]], "species": ["Ag", "S", "I", "O", "O"], "frac_coords": [[0.000, 0.000, 0.000], [0.500, 0.500, 0.500], [0.000, 0.000, 0.500], [0.000, 0.500, 0.000], [0.500, 0.000, 0.000]], "total_energy_ev_per_cell": -15.19, "e_form_raw_ev_per_atom": 0.65, "dos_at_fermi_per_ev_cell": 5.58, "mass_density_g_cm3": 3.943, "m_tot_mub_per_fu": 1.56, "crystal_system": "tetragonal"}

5.
{"formula": "MgIrBr2", "functional": "PBE", "state": "relaxed", "cell": [[3.888, 0.000, 0.000], [0.000, 3.590, 0.000], [-1.412, 0.000, 7.538]], "species": ["Mg", "Ir", "Br", "Br"], "frac_coords": [[0.000, 0.000, 0.000], [0.543, 0.500, 0.103], [0.295, 0.500, 0.779], [0.668, 0.000, 0.332]], "total_energy_ev_per_cell": -14.75, "e_form_raw_ev_per_atom": -0.24, "dos_at_fermi_per_ev_cell": 2.20, "relative_energy_mev_per_atom": 0, "mass_density_g_cm3": 5.939, "m_tot_mub_per_fu": 0.17, "crystal_system": "monoclinic"}

6.
{"formula": "Ba2MgMn", "functional": "PBE", "state": "relaxed", "cell": [[0.000, 4.088, 4.088], [4.088, 0.000, 4.088], [4.088, 4.088, 0.000]], "species": ["Ba", "Ba", "Mg", "Mn"], "frac_coords": [[0.000, 0.000, 0.000], [0.250, 0.250, 0.250], [0.500, 0.500, 0.500], [0.750, 0.750, 0.750]], "total_energy_ev_per_cell": -13.02, "e_form_ev_per_atom": 0.398, "dos_at_fermi_per_ev_cell": 3.68, "mass_density_g_cm3": 4.300, "m_tot_mub_per_fu": 4.66, "crystal_system": "cubic"}

7.
{"formula": "HgIr2Br", "functional": "PBE", "state": "relaxed", "cell": [[4.793, 0.000, 0.000], [0.000, 4.793, 0.000], [0.000, 0.000, 3.068]], "species": ["Hg", "Ir", "Ir", "Br"], "frac_coords": [[0.000, 0.000, 0.000], [0.000, 0.500, 0.500], [0.500, 0.000, 0.500], [0.500, 0.500, 0.000]], "total_energy_ev_per_cell": -15.26, "e_form_raw_ev_per_atom": 1.11, "dos_at_fermi_per_ev_cell": 4.24, "relative_energy_mev_per_atom": 687, "mass_density_g_cm3": 15.666, "m_tot_mub_per_fu": 0.00, "crystal_system": "tetragonal"}

8.
{"formula": "NaEu3Pt", "functional": "PBE", "state": "relaxed", "cell": [[5.822, 0.000, 0.000], [0.000, 5.822, 0.000], [0.000, 0.000, 5.822]], "species": ["Na", "Eu", "Eu", "Eu", "Pt"], "frac_coords": [[0.000, 0.000, 0.000], [0.000, 0.500, 0.500], [0.500, 0.000, 0.500], [0.500, 0.500, 0.000], [0.500, 0.500, 0.500]], "total_energy_ev_per_cell": -40.28, "e_form_ev_per_atom": -0.419, "dos_at_fermi_per_ev_cell": 33.14, "mass_density_g_cm3": 5.671, "m_tot_mub_per_fu": 21.49, "crystal_system": "cubic"}

9.
{"formula": "Er4HgPd3", "functional": "PBE", "state": "relaxed", "cell": [[4.991, 0.000, 0.000], [0.000, 4.991, 0.000], [0.000, 0.000, 7.078]], "species": ["Er", "Er", "Er", "Er", "Hg", "Pd", "Pd", "Pd"], "frac_coords": [[0.000, 0.500, 0.241], [0.000, 0.500, 0.759], [0.500, 0.000, 0.241], [0.500, 0.000, 0.759], [0.000, 0.000, 0.500], [0.000, 0.000, 0.000], [0.500, 0.500, 0.000], [0.500, 0.500, 0.500]], "total_energy_ev_per_cell": -40.49, "e_form_ev_per_atom": -0.795, "dos_at_fermi_per_ev_cell": 5.86, "mass_density_g_cm3": 11.195, "m_tot_mub_per_fu": 0.00, "crystal_system": "tetragonal"}

10.
{"formula": "Rb3CdO", "functional": "PBE", "state": "relaxed", "cell": [[5.606, -4.954, 0.000], [5.606, 4.954, 0.000], [-5.403, 0.000, 6.885]], "species": ["Rb", "Rb", "Rb", "Rb", "Rb", "Rb", "Cd", "Cd", "O", "O"], "frac_coords": [[0.064, 0.438, 0.815], [0.102, 0.102, 0.256], [0.438, 0.064, 0.815], [0.562, 0.936, 0.185], [0.898, 0.898, 0.744], [0.936, 0.562, 0.185], [0.464, 0.464, 0.301], [0.536, 0.536, 0.699], [0.215, 0.215, 0.036], [0.785, 0.785, 0.964]], "total_energy_ev_per_cell": -22.88, "e_form_raw_ev_per_atom": -0.53, "dos_at_fermi_per_ev_cell": 2.99, "relative_energy_mev_per_atom": 20, "mass_density_g_cm3": 3.342, "m_tot_mub_per_fu": 0.00, "crystal_system": "monoclinic"}

11.
{"formula": "Tb4CeSc", "functional": "PBE", "state": "relaxed", "cell": [[8.539, -1.766, 0.000], [8.539, 1.766, 0.000], [-0.702, 0.000, 6.050]], "species": ["Tb", "Tb", "Tb", "Tb", "Ce", "Sc"], "frac_coords": [[0.164, 0.164, 0.387], [0.336, 0.336, 0.112], [0.664, 0.664, 0.888], [0.836, 0.836, 0.613], [0.000, 0.000, 0.000], [0.500, 0.500, 0.500]], "total_energy_ev_per_cell": -30.50, "e_form_ev_per_atom": 0.049, "dos_at_fermi_per_ev_cell": 10.37, "mass_density_g_cm3": 7.470, "m_tot_mub_per_fu": 0.93, "crystal_system": "monoclinic"}

12.
{"formula": "Er2TmTl3Te6", "functional": "PBE", "state": "relaxed", "cell": [[3.827, -6.629, 0.000], [3.827, 6.629, 0.000], [-2.552, 0.000, 8.189]], "species": ["Er", "Er", "Tm", "Tl", "Tl", "Tl", "Te", "Te", "Te", "Te", "Te", "Te"], "frac_coords": [[0.167, 0.833, 0.000], [0.833, 0.167, 0.000], [0.500, 0.500, 0.000], [0.000, 0.000, 0.500], [0.333, 0.667, 0.500], [0.667, 0.333, 0.500], [0.097, 0.430, 0.789], [0.238, 0.238, 0.211], [0.430, 0.097, 0.789], [0.570, 0.903, 0.211], [0.762, 0.762, 0.789], [0.903, 0.570, 0.211]], "total_energy_ev_per_cell": -51.97, "e_form_raw_ev_per_atom": -1.03, "mass_density_g_cm3": 7.522, "m_tot_mub_per_fu": 0.00, "crystal_system": "monoclinic"}